# 1
Density functional theory data (PBE) for an optimized crystal structure of HfTiCr.

Calculated values
DOS at the Fermi energy: 1.5926 states/eV/atom
space group: I4mm
formation energy: 0.3 eV per formula unit

a b c (Å): 3.182 3.182 9.957
angles (deg): 90.00 90.00 90.00
Element x y z (fractional)
Hf1 0.000 0.000 0.000
Hf2 0.500 0.500 0.500
Ti1 0.000 0.000 0.295
Ti2 0.500 0.500 0.795
Cr1 0.000 0.000 0.669
Cr2 0.500 0.500 0.169


# 2
Density functional theory data (PBE) for an optimized crystal structure of HfTiCr2.

Calculated values
DOS at the Fermi energy: 1.6165 states/eV/atom
space group: I-42d
formation energy: 2.7 eV per formula unit

a b c (Å): 6.862 6.862 5.467
angles (deg): 90.00 90.00 90.00
Element x y z (fractional)
Hf1 0.000 0.000 0.000
Hf2 0.000 0.500 0.250
Hf3 0.500 0.000 0.750
Hf4 0.500 0.500 0.500
Ti1 0.000 0.000 0.500
Ti2 0.000 0.500 0.750
Ti3 0.500 0.000 0.250
Ti4 0.500 0.500 0.000
Cr1 0.231 0.250 0.625
Cr2 0.250 0.731 0.875
Cr3 0.250 0.769 0.375
Cr4 0.269 0.250 0.125
Cr5 0.731 0.750 0.125
Cr6 0.750 0.231 0.375
Cr7 0.750 0.269 0.875
Cr8 0.769 0.750 0.625


# 3
Density functional theory data (PBE) for an optimized crystal structure of HfTiCr.

Calculated values
DOS at the Fermi energy: 1.3586 states/eV/atom
space group: Cmcm
formation energy: 1.8 eV per formula unit

a b c (Å): 4.300 13.046 4.190
angles (deg): 90.00 90.00 90.00
Element x y z (fractional)
Hf1 0.000 0.097 0.250
Hf2 0.000 0.903 0.750
Hf3 0.500 0.403 0.750
Hf4 0.500 0.597 0.250
Ti1 0.000 0.321 0.250
Ti2 0.000 0.679 0.750
Ti3 0.500 0.179 0.750
Ti4 0.500 0.821 0.250
Cr1 0.000 0.500 0.000
Cr2 0.000 0.500 0.500
Cr3 0.500 0.000 0.000
Cr4 0.500 0.000 0.500


# 4
Density functional theory data (PBE) for an optimized crystal structure of Hf2Ti2Cr.

Calculated values
DOS at the Fermi energy: 0.5844 states/eV/atom
space group: P4/mbm
formation energy: 0.9 eV per formula unit

a b c (Å): 6.148 6.148 4.860
angles (deg): 90.00 90.00 90.00
Element x y z (fractional)
Hf1 0.169 0.331 0.000
Hf2 0.331 0.831 0.000
Hf3 0.669 0.169 0.000
Hf4 0.831 0.669 0.000
Ti1 0.152 0.652 0.500
Ti2 0.348 0.152 0.500
Ti3 0.652 0.848 0.500
Ti4 0.848 0.348 0.500
Cr1 0.000 0.000 0.500
Cr2 0.500 0.500 0.500